This record from Alexandria describes a geometry-optimized CrInGe3 structure. The functional is PBE.

Values from the calculation:
formation energy: 21.5 kJ/mol of atoms
space-group type: Pm-3m, No. 221

Cell lengths 4.730, 4.730, 4.730 Å; angles 90.00, 90.00, 90.00 degrees
Fractional positions:
1 Ge 0.500 0.000 0.000
2 Ge 0.000 0.500 0.000
3 Ge 0.000 0.000 0.500
4 In 0.500 0.500 0.500
5 Cr 0.000 0.000 0.000

***

This record from Alexandria describes a geometry-optimized Hg5As2I2 structure. The functional is PBE.

Values from the calculation:
energy relative to the elements, uncorrected: -6 meV per atom
space-group type: C2/m, No. 12

Cell lengths 5.391, 7.934, 7.647 Å; angles 96.07, 90.00, 109.86 degrees
Fractional positions:
1 As 0.153 0.307 0.871
2 As 0.847 0.693 0.129
3 I 0.613 0.227 0.332
4 I 0.387 0.773 0.668
5 Hg 0.327 0.655 0.118
6 Hg 0.103 0.206 0.527
7 Hg 0.673 0.345 0.882
8 Hg 0.000 0.000 0.000
9 Hg 0.897 0.794 0.473

***

This record from Alexandria describes a geometry-optimized KSnCl2 structure. The functional is PBE.

Values from the calculation:
energy relative to the elements, uncorrected: -1115 meV per atom
space-group type: R-3m, No. 166

Cell lengths 9.666, 9.666, 9.666 Å; angles 23.88, 23.88, 23.88 degrees
Fractional positions:
1 Cl 0.096 0.096 0.096
2 Cl 0.904 0.904 0.904
3 Sn 0.000 0.000 0.000
4 K 0.500 0.500 0.500

***

This record from Alexandria describes a geometry-optimized SmYPb2 structure. The functional is PBE.

Values from the calculation:
formation energy: -45.4 kJ/mol of atoms
space-group type: P4/mmm, No. 123

Cell lengths 4.489, 5.073, 5.073 Å; angles 90.00, 90.00, 90.00 degrees
Fractional positions:
1 Pb 0.000 0.000 0.500
2 Pb 0.000 0.500 0.000
3 Y 0.500 0.000 0.000
4 Sm 0.500 0.500 0.500

***

This record from Alexandria describes a geometry-optimized La6SmIn structure. The functional is PBE.

Values from the calculation:
formation energy: -12.8 kJ/mol of atoms
space-group type: P4/mmm, No. 123

Cell lengths 5.131, 5.131, 10.412 Å; angles 90.00, 90.00, 90.00 degrees
Fractional positions:
1 La 0.500 0.000 0.756
2 La 0.500 0.500 0.500
3 La 0.000 0.500 0.756
4 La 0.500 0.500 0.000
5 La 0.000 0.500 0.244
6 La 0.500 0.000 0.244
7 Sm 0.000 0.000 0.500
8 In 0.000 0.000 0.000

***

This record from Alexandria describes a geometry-optimized V6NiIr5 structure. The functional is PBE.

Values from the calculation:
formation energy: -43.2 kJ/mol of atoms
space-group type: P2/m, No. 10

Cell lengths 4.583, 5.447, 6.575 Å; angles 90.00, 92.48, 90.00 degrees
Fractional positions:
1 Ir 0.335 0.000 0.674
2 Ir 0.668 0.500 0.334
3 Ir 0.665 0.000 0.326
4 Ir 0.000 0.500 0.000
5 Ir 0.332 0.500 0.666
6 V 0.837 0.751 0.668
7 V 0.837 0.249 0.668
8 V 0.163 0.751 0.332
9 V 0.500 0.249 0.000
10 V 0.500 0.751 0.000
11 V 0.163 0.249 0.332
12 Ni 0.000 0.000 0.000

***

This record from Alexandria describes a geometry-optimized Mg14GaMo structure. The functional is PBE.

Values from the calculation:
formation energy: 7.1 kJ/mol of atoms
space-group type: Amm2, No. 38

Cell lengths 6.225, 6.225, 10.183 Å; angles 90.00, 90.00, 120.72 degrees
Site moments in Bohr magnetons follow the coordinates.
Fractional positions:
1 Mg 0.835 0.665 0.500  -0.01
2 Mg 0.161 0.332 0.736  0.00
3 Mg 0.834 0.166 0.000  0.00
4 Mg 0.668 0.839 0.264  0.00
5 Mg 0.672 0.328 0.258  0.00
6 Mg 0.672 0.328 0.742  0.00
7 Mg 0.168 0.832 0.750  0.01
8 Mg 0.831 0.667 0.000  0.01
9 Mg 0.333 0.169 0.000  0.01
10 Mg 0.168 0.832 0.250  0.01
11 Mg 0.334 0.666 0.000  0.00
12 Mg 0.161 0.332 0.264  0.00
13 Mg 0.335 0.165 0.500  -0.01
14 Mg 0.668 0.839 0.736  0.00
15 Mo 0.832 0.168 0.500  1.24
16 Ga 0.330 0.670 0.500  -0.01

***

This record from Alexandria describes a geometry-optimized SiAs2PbBr structure. The functional is PBE.

Values from the calculation:
energy relative to the elements, uncorrected: 1095 meV per atom
space-group type: P4/mmm, No. 123

Cell lengths 5.466, 5.466, 5.570 Å; angles 90.00, 90.00, 90.00 degrees
Site moments in Bohr magnetons follow the coordinates.
Fractional positions:
1 Br 0.000 0.000 0.500  0.06
2 Si 0.500 0.500 0.500  -0.14
3 As 0.500 0.000 0.000  0.25
4 As 0.000 0.500 0.000  0.25
5 Pb 0.000 0.000 0.000  -0.01

***

This record from Alexandria describes a geometry-optimized KAlTc2 structure. The functional is PBE.

Values from the calculation:
formation energy: 34.9 kJ/mol of atoms
space-group type: P4mm, No. 99

Cell lengths 3.086, 3.086, 9.181 Å; angles 70.34, 90.00, 90.00 degrees
Fractional positions:
1 Al 0.000 0.577 0.423
2 Tc 0.000 0.915 0.085
3 Tc 0.500 0.264 0.236
4 K 0.500 0.744 0.757

***

This record from Alexandria describes a geometry-optimized Ac2CuSbSe5 structure. The functional is PBE.

Values from the calculation:
energy relative to the elements, uncorrected: -1223 meV per atom
space-group type: Cmc2_1, No. 36

Cell lengths 4.243, 9.321, 12.568 Å; angles 90.00, 90.00, 103.16 degrees
Fractional positions:
1 Ac 0.887 0.773 0.187
2 Ac 0.113 0.227 0.687
3 Ac 0.120 0.240 0.307
4 Ac 0.880 0.760 0.807
5 Se 0.957 0.914 0.556
6 Se 0.496 0.992 0.287
7 Se 0.642 0.284 0.501
8 Se 0.701 0.401 0.840
9 Se 0.291 0.582 0.659
10 Se 0.709 0.418 0.159
11 Se 0.358 0.716 0.001
12 Se 0.504 0.008 0.787
13 Se 0.043 0.086 0.056
14 Se 0.299 0.599 0.340
15 Cu 0.502 0.003 0.482
16 Cu 0.498 0.997 0.982
17 Sb 0.812 0.624 0.504
18 Sb 0.188 0.376 0.004

***

This record from Alexandria describes a geometry-optimized BeCrCuGe2 structure. The functional is PBE.

Values from the calculation:
formation energy: 89.4 kJ/mol of atoms
space-group type: P4/mmm, No. 123

Cell lengths 4.362, 4.013, 4.362 Å; angles 90.00, 90.00, 90.00 degrees
Site moments in Bohr magnetons follow the coordinates.
Fractional positions:
1 Ge 0.000 0.000 0.500  0.00
2 Ge 0.500 0.000 0.000  0.02
3 Be 0.000 0.000 0.000  -0.02
4 Cu 0.000 0.500 0.000  0.00
5 Cr 0.500 0.500 0.500  -0.37

***

This record from Alexandria describes a geometry-optimized Co2RuPb structure. The functional is PBE.

Values from the calculation:
formation energy: 49.7 kJ/mol of atoms
space-group type: P2/m, No. 10

Cell lengths 3.610, 2.894, 6.470 Å; angles 63.25, 90.00, 90.00 degrees
Site moments in Bohr magnetons follow the coordinates.
Fractional positions:
1 Pb 0.500 0.250 0.250  -0.01
2 Ru 0.500 0.750 0.750  0.58
3 Co 0.000 0.040 0.958  1.23
4 Co 0.000 0.460 0.542  1.23

***

This record from Alexandria describes a geometry-optimized Y2GeH3 structure. The functional is PBE.

Values from the calculation:
space-group type: C2/m, No. 12

Cell lengths 3.688, 7.258, 7.310 Å; angles 113.52, 90.00, 104.72 degrees
Fractional positions:
1 Y 0.791 0.583 0.300
2 Y 0.209 0.417 0.700
3 Y 0.531 0.061 0.278
4 Y 0.469 0.939 0.722
5 H 0.400 0.800 0.368
6 H 0.303 0.605 0.515
7 H 0.600 0.200 0.632
8 H 0.072 0.144 0.430
9 H 0.697 0.395 0.485
10 H 0.928 0.856 0.570
11 Ge 0.882 0.764 0.970
12 Ge 0.118 0.236 0.030

***

This record from Alexandria describes a geometry-optimized SmThMgZr structure. The functional is PBE.

Values from the calculation:
formation energy: 11.8 kJ/mol of atoms
space-group type: F-43m, No. 216

Cell lengths 5.398, 5.398, 5.398 Å; angles 60.00, 60.00, 60.00 degrees
Site moments in Bohr magnetons follow the coordinates.
Fractional positions:
1 Mg 0.000 0.000 0.000  -0.01
2 Th 0.750 0.750 0.750  0.09
3 Zr 0.500 0.500 0.500  0.33
4 Sm 0.250 0.250 0.250  0.07

***

This record from Alexandria describes a geometry-optimized MnSiHg structure. The functional is PBE.

Values from the calculation:
energy relative to the elements, uncorrected: 347 meV per atom
space-group type: P3m1, No. 156

Cell lengths 2.979, 2.979, 6.588 Å; angles 90.00, 90.00, 120.00 degrees
Site moments in Bohr magnetons follow the coordinates.
Fractional positions:
1 Hg 0.000 0.000 0.012  0.00
2 Si 0.333 0.667 0.629  -0.05
3 Mn 0.667 0.333 0.360  2.98

***

This record from Alexandria describes a geometry-optimized BeRe2Ni structure. The functional is PBE.

Values from the calculation:
formation energy: 58.4 kJ/mol of atoms
space-group type: I-42d, No. 122

Cell lengths 3.591, 3.591, 9.075 Å; angles 78.59, 78.59, 90.00 degrees
Fractional positions:
1 Re 0.145 0.625 0.250
2 Re 0.605 0.125 0.250
3 Re 0.875 0.855 0.750
4 Re 0.375 0.395 0.750
5 Ni 0.000 0.000 0.000
6 Ni 0.750 0.250 0.500
7 Be 0.500 0.500 0.000
8 Be 0.250 0.750 0.500

***

This record from Alexandria describes a geometry-optimized CaPrSm2Sb4 structure. The functional is PBE.

Values from the calculation:
energy relative to the elements, uncorrected: -1059 meV per atom
space-group type: Fmm2, No. 42

Cell lengths 6.373, 6.373, 7.810 Å; angles 114.06, 114.06, 90.05 degrees
Fractional positions:
1 Sb 0.688 0.688 0.502
2 Sb 0.437 0.938 0.000
3 Sb 0.186 0.186 0.498
4 Sb 0.938 0.437 0.000
5 Sm 0.687 0.187 0.500
6 Sm 0.187 0.687 0.500
7 Pr 0.937 0.937 0.000
8 Ca 0.438 0.438 0.000

***

This record from Alexandria describes a geometry-optimized TaCu2As structure. The functional is PBE.

Values from the calculation:
formation energy: 7.3 kJ/mol of atoms
space-group type: P2/m, No. 10

Cell lengths 4.248, 2.850, 5.080 Å; angles 77.81, 90.00, 90.00 degrees
Fractional positions:
1 Cu 0.000 0.819 0.005
2 Cu 0.000 0.681 0.495
3 Ta 0.500 0.250 0.250
4 As 0.500 0.750 0.750

***

This record from Alexandria describes a geometry-optimized Er5CdCu2 structure. The functional is PBE.

Values from the calculation:
formation energy: -17.9 kJ/mol of atoms
space-group type: I4/mcm, No. 140

Cell lengths 7.840, 7.840, 8.480 Å; angles 117.53, 117.53, 90.00 degrees
Fractional positions:
1 Er 0.000 0.000 0.000
2 Er 0.017 0.517 0.719
3 Er 0.500 0.500 0.000
4 Er 0.483 0.298 0.281
5 Er 0.702 0.202 0.719
6 Er 0.798 0.983 0.281
7 Er 0.983 0.483 0.281
8 Er 0.298 0.798 0.281
9 Er 0.202 0.017 0.719
10 Er 0.517 0.702 0.719
11 Cu 0.628 0.128 0.000
12 Cu 0.372 0.872 0.000
13 Cu 0.128 0.372 0.000
14 Cu 0.872 0.628 0.000
15 Cd 0.250 0.250 0.500
16 Cd 0.750 0.750 0.500

***

This record from Alexandria describes a geometry-optimized TiNbSn structure. The functional is PBE.

Values from the calculation:
formation energy: -4.2 kJ/mol of atoms
space-group type: P3m1, No. 156

Cell lengths 2.956, 4.711, 4.711 Å; angles 120.00, 90.00, 90.00 degrees
Site moments in Bohr magnetons follow the coordinates.
Fractional positions:
1 Ti 0.021 0.000 0.000  0.29
2 Sn 0.675 0.333 0.667  -0.01
3 Nb 0.304 0.667 0.333  0.10

***

| no. | E (eV per atom) |
| --- | --- |
| 1 | -5.020 |
| 2 | -1.551 |
| 3 | -3.313 |
| 4 | -5.120 |
| 5 | -4.760 |
| 6 | -9.181 |
| 7 | -2.188 |
| 8 | -2.926 |
| 9 | -6.031 |
| 10 | -4.985 |
| 11 | -4.410 |
| 12 | -6.284 |
| 13 | -5.265 |
| 14 | -5.448 |
| 15 | -4.618 |
| 16 | -7.995 |
| 17 | -5.148 |
| 18 | -6.098 |
| 19 | -4.176 |
| 20 | -7.366 |